(i)
The following is a PBE calculation of a geometry-optimized In2Bi2Pb7 structure, from Alexandria via LeMat-Bulk.

Cell: 8.5650 6.3966 8.5650 Å, 62.19 85.58 62.19°
Last column: nearest neighbours and their distance in Å.
Positions (direct):
In 0.8239 0.0000 0.1761  4 Pb 3.35-3.47, 2 Bi 3.43
In 0.1761 0.0000 0.8239  4 Pb 3.35-3.47, 2 Bi 3.43
Bi 0.2656 0.5201 0.2656  8 Pb 3.29-3.61, 2 In 3.43
Bi 0.7344 0.4799 0.7344  8 Pb 3.29-3.61, 2 In 3.43
Pb 0.9249 0.3265 0.4195  4 Pb 3.30-3.51, 2 In 3.35-3.47, 2 Bi 3.35-3.61
Pb 0.4195 0.3265 0.9249  4 Pb 3.30-3.51, 2 In 3.35-3.47, 2 Bi 3.35-3.61
Pb 0.3848 0.8898 0.3848  3 Bi 3.29-3.51, 2 Pb 3.51
Pb 0.0000 0.5000 0.0000  4 Pb 3.34, 2 Bi 3.42
Pb 0.6152 0.1102 0.6152  3 Bi 3.29-3.51, 2 Pb 3.51
Pb 0.0751 0.6735 0.5805  4 Pb 3.30-3.51, 2 In 3.35-3.47, 2 Bi 3.35-3.61
Pb 0.5805 0.6735 0.0751  4 Pb 3.30-3.51, 2 In 3.35-3.47, 2 Bi 3.35-3.61

Summary:
Calculated volume in Å³ per cell: 361

***

(ii)
The following is a PBE calculation of a geometry-optimized In2Bi2Pb7 structure, from Alexandria via LeMat-Bulk.

Cell: 7.8447 7.0831 7.0831 Å, 104.74 99.77 99.77°
Last column: nearest neighbours and their distance in Å.
Positions (direct):
In 0.6677 0.1386 0.1386  1 In 3.03, 3 Pb 3.16-3.27
In 0.3323 0.8614 0.8614  1 In 3.03, 3 Pb 3.16-3.27
Bi 0.5000 0.2864 0.7136  6 Pb 3.26-3.37, 2 In 3.55
Bi 0.5000 0.7136 0.2864  6 Pb 3.26-3.37, 2 In 3.55
Pb 0.1793 0.9141 0.4231  2 Bi 3.26-3.28, 1 In 3.27, 5 Pb 3.33-3.58
Pb 0.8207 0.5769 0.0859  2 Bi 3.26-3.28, 1 In 3.27, 5 Pb 3.33-3.58
Pb 0.8207 0.0859 0.5769  2 Bi 3.26-3.28, 1 In 3.27, 5 Pb 3.33-3.58
Pb 0.1793 0.4231 0.9141  2 Bi 3.26-3.28, 1 In 3.27, 5 Pb 3.33-3.58
Pb 0.0000 0.0000 0.0000  2 In 3.16, 6 Pb 3.33-3.51
Pb 0.8145 0.5810 0.5810  2 Bi 3.37, 6 Pb 3.51-3.58, 1 In 3.68
Pb 0.1855 0.4190 0.4190  2 Bi 3.37, 6 Pb 3.51-3.58, 1 In 3.68

Summary:
Calculated volume in Å³ per cell: 366

***

Tell me which of them is the most stable. Sure, it is (i).

***

(i)
The following is a PBE calculation of a geometry-optimized In2BiPb4 structure, from Alexandria via LeMat-Bulk.

Cell: 5.6476 5.6476 8.4253 Å, 70.42 70.42 60.00°
Last column: nearest neighbours and their distance in Å.
Positions (direct):
In 0.7100 0.7100 0.8701  5 Pb 3.21-3.47, 3 Bi 3.41
In 0.2900 0.2900 0.1299  5 Pb 3.21-3.47, 3 Bi 3.41
Bi 0.0000 0.0000 0.0000  6 In 3.41, 2 Pb 3.43
Pb 0.8530 0.8530 0.4410  1 In 3.33, 6 Pb 3.39-3.48, 1 Bi 3.43
Pb 0.1470 0.1470 0.5590  1 In 3.33, 6 Pb 3.39-3.48, 1 Bi 3.43
Pb 0.5722 0.5722 0.2832  4 In 3.21-3.47, 4 Pb 3.37-3.48
Pb 0.4278 0.4278 0.7168  4 In 3.21-3.47, 4 Pb 3.37-3.48

Summary:
Calculated volume in Å³ per cell: 215

***

(ii)
The following is a PBE calculation of a geometry-optimized In2BiPb4 structure, from Alexandria via LeMat-Bulk.

Cell: 3.5236 4.4415 14.2673 Å, 90.00 96.55 90.00°
Last column: nearest neighbours and their distance in Å.
Positions (direct):
Pb 0.9250 0.5000 0.8570  4 Bi 3.47-3.50, 6 Pb 3.52-3.55, 1 In 3.78
Pb 0.6500 0.0000 0.2921  4 In 3.28-3.29, 6 Pb 3.52-3.55
Pb 0.0750 0.5000 0.1430  4 Bi 3.47-3.50, 6 Pb 3.52-3.55, 1 In 3.78
Pb 0.3500 0.0000 0.7079  4 In 3.28-3.29, 6 Pb 3.52-3.55
Bi 0.5000 0.0000 0.0000  8 Pb 3.47-3.50, 2 Bi 3.52
In 0.7937 0.5000 0.5906  2 In 3.11-3.12, 4 Pb 3.28-3.29
In 0.2063 0.5000 0.4094  2 In 3.11-3.12, 4 Pb 3.28-3.29

Summary:
Calculated volume in Å³ per cell: 222

***

Tell me which of them is the most stable. Sure, it is (i).